The following is a DFT calculation (meta-GGA SCAN) of a PBEsol-optimized structure of AgHgCl2.

## Properties
ΔE_f (raw): -375 meV per atom
excess energy over the best structure of this formula in the dataset: 0.0000 eV per atom
space group: R3m (160)

abc: 7.715 7.715 7.715
angles: 28.90 28.90 28.90
Positions (direct):
Ag (0.000, 0.000, 0.000)
Hg (0.746, 0.746, 0.746)
Cl (0.277, 0.277, 0.277)
Cl (0.480, 0.480, 0.480)